Entry 1:
Entry from Alexandria: crystalline LiZnRu at its relaxed geometry (PBE-GGA).

Lattice parameters (Å, degrees): 2.709 3.834 7.994 90.00 90.11 90.00
Space group P2_1/m (No. 11)
Unique sites:
Li (0.249, 0.250, 0.242)
Zn (0.251, 0.250, 0.907)
Ru (0.250, 0.250, 0.567)

Results
formation energy	-0.019	eV per atom
calculated volume	83	Å³ per cell
total magnetization	0.0	μB per cell
relative energy among the computed polymorphs	0	meV/atom

Entry 2:
Entry from Alexandria: crystalline Nd2InOs at its relaxed geometry (PBE-GGA).

Lattice parameters (Å, degrees): 4.0236 4.0236 30.0732 90.00 90.00 120.00
Space group R-3m (No. 166, hexagonal axes)
Unique sites:
Nd (0.0000, 0.0000, 0.1141)
In (0.0000, 0.0000, 0.0000)
Os (0.0000, 0.0000, 0.5000)

Results
formation energy	0.217	eV per atom
calculated volume	422	Å³ per cell
total magnetization	0.0	μB per cell
relative energy among the computed polymorphs	410	meV/atom

Entry 3:
Entry from Alexandria: crystalline NdCdPt3 at its relaxed geometry (PBE-GGA).

Lattice parameters (Å, degrees): 6.5801 6.5801 5.6776 90.00 90.00 120.00
Space group P6_3/mmc (No. 194)
Unique sites:
Nd (0.3333, 0.6667, 0.2500)
Cd (0.0000, 0.0000, 0.0000)
Pt (0.2008, 0.4015, 0.7500)

Results
formation energy	-0.522	eV per atom
calculated volume	213	Å³ per cell
total magnetization	0.0	μB per cell

Entry 4:
Entry from Alexandria: crystalline Dy3Pb2C at its relaxed geometry (PBE-GGA).

Lattice parameters (Å, degrees): 14.673 6.323 6.965 90.00 102.82 90.00
Space group C2/c (No. 15)
Unique sites:
Dy (0.000, 0.068, 0.250)
Dy (0.114, 0.454, 0.575)
Pb (0.190, 0.056, 0.080)
C (0.000, 0.436, 0.250)

Results
formation energy	-0.322	eV per atom
calculated volume	630	Å³ per cell
total magnetization	0.0	μB per cell

Entry 5:
Entry from Alexandria: crystalline Cs2GeTeBr6 at its relaxed geometry (PBE-GGA).

Lattice parameters (Å, degrees): 7.837 7.837 13.131 90.00 90.00 90.00
Space group I4/mmm (No. 139)
Unique sites:
Cs (0.000, 0.500, 0.250)
Ge (0.000, 0.000, 0.000)
Te (0.000, 0.000, 0.500)
Br (0.000, 0.000, 0.208)
Br (0.250, 0.250, 0.000)

Results
calculated volume	807	Å³ per cell
energy relative to the elements, uncorrected	-933	meV/atom
total magnetization	0.0	μB per cell

Entry 6:
Entry from Alexandria: crystalline As2S3Br at its relaxed geometry (PBE-GGA).

Lattice parameters (Å, degrees): 20.080 4.966 7.266 90.00 93.68 90.00
Space group C2/m (No. 12)
Unique sites:
As (0.078, 0.000, 0.050)
As (0.197, 0.500, 0.915)
S (0.015, 0.000, 0.780)
S (0.109, 0.500, 0.095)
S (0.207, 0.000, 0.853)
Br (0.148, 0.500, 0.587)

Results
calculated volume	723	Å³ per cell
energy relative to the elements, uncorrected	-29	meV/atom
total magnetization	0.0	μB per cell

Entry 7:
Entry from Alexandria: crystalline Sc3Tc at its relaxed geometry (PBE-GGA).

Lattice parameters (Å, degrees): 3.296 3.296 7.793 90.00 90.00 90.00
Space group P4/mmm (No. 123)
Unique sites:
Sc (0.000, 0.000, 0.000)
Sc (0.500, 0.500, 0.307)
Tc (0.000, 0.000, 0.500)

Results
formation energy	-0.103	eV per atom
calculated volume	85	Å³ per cell
total magnetization	0.2	μB per cell

Entry 8:
Entry from Alexandria: crystalline V2GeB at its relaxed geometry (PBE-GGA).

Lattice parameters (Å, degrees): 6.258 6.258 5.101 90.00 90.00 90.00
Space group I-42d (No. 122)
Unique sites:
V (0.209, 0.250, 0.125)
Ge (0.000, 0.000, 0.500)
B (0.000, 0.000, 0.000)

Results
formation energy	0.102	eV per atom
calculated volume	200	Å³ per cell
total magnetization	0.0	μB per cell
relative energy among the computed polymorphs	391	meV/atom

Entry 9:
Entry from Alexandria: crystalline Sn2BiTe at its relaxed geometry (PBE-GGA).

Lattice parameters (Å, degrees): 6.355 6.393 12.732 90.00 90.00 90.00
Space group Pmna (No. 53)
Unique sites:
Sn (0.000, 0.224, 0.123)
Sn (0.000, 0.242, 0.625)
Bi (0.000, 0.276, 0.875)
Te (0.000, 0.237, 0.374)

Results
calculated volume	517	Å³ per cell
energy relative to the elements, uncorrected	-81	meV/atom
total magnetization	0.0	μB per cell
relative energy among the computed polymorphs	0	meV/atom

Entry 10:
Entry from Alexandria: crystalline KV3Mo at its relaxed geometry (PBE-GGA).

Lattice parameters (Å, degrees): 4.276 4.276 4.276 90.00 90.00 90.00
Space group Pm-3m (No. 221)
Unique sites:
K (0.000, 0.000, 0.000)
V (0.000, 0.000, 0.500)
Mo (0.500, 0.500, 0.500)

Results
formation energy	2.497	eV per atom
calculated volume	78	Å³ per cell
total magnetization	0.0	μB per cell
relative energy among the computed polymorphs	1117	meV/atom

Entry 11:
Entry from Alexandria: crystalline NbIn2TcRh at its relaxed geometry (PBE-GGA).

Lattice parameters (Å, degrees): 5.072 5.072 4.641 90.00 90.00 90.00
Space group P4/mmm (No. 123)
Unique sites:
Nb (0.000, 0.000, 0.000)
In (0.000, 0.500, 0.500)
Tc (0.500, 0.500, 0.500)
Rh (0.500, 0.500, 0.000)

Results
formation energy	1.135	eV per atom
calculated volume	119	Å³ per cell
total magnetization	3.2	μB per cell

Entry 12:
Entry from Alexandria: crystalline AcSiBiO6 at its relaxed geometry (PBE-GGA).

Lattice parameters (Å, degrees): 5.2567 5.2567 5.3832 90.00 90.00 120.00
Space group P312 (No. 149)
Unique sites:
Ac (0.0000, 0.0000, 0.0000)
Si (0.6667, 0.3333, 0.5000)
Bi (0.3333, 0.6667, 0.5000)
O (0.3982, 0.0435, 0.7025)

Results
calculated volume	129	Å³ per cell
energy relative to the elements, uncorrected	-2190	meV/atom
total magnetization	0.0	μB per cell

Entry 13:
Entry from Alexandria: crystalline CrBr2N at its relaxed geometry (PBE-GGA).

Lattice parameters (Å, degrees): 3.5947 3.5947 28.0614 90.00 90.00 120.00
Space group R-3m (No. 166, hexagonal axes)
Unique sites:
Cr (0.0000, 0.0000, 0.0000)
Br (0.0000, 0.0000, 0.3850)
N (0.0000, 0.0000, 0.5000)

Results
calculated volume	314	Å³ per cell
energy relative to the elements, uncorrected	1179	meV/atom
total magnetization	9.0	μB per cell
relative energy among the computed polymorphs	0	meV/atom

Entry 14:
Entry from Alexandria: crystalline Ti2NbIn2 at its relaxed geometry (PBE-GGA).

Lattice parameters (Å, degrees): 7.651 7.651 3.331 90.00 90.00 90.00
Space group P4/mbm (No. 127)
Unique sites:
Ti (0.173, 0.327, 0.000)
Nb (0.000, 0.000, 0.500)
In (0.131, 0.631, 0.500)

Results
formation energy	0.104	eV per atom
calculated volume	195	Å³ per cell
total magnetization	0.0	μB per cell
relative energy among the computed polymorphs	171	meV/atom

Entry 15:
Entry from Alexandria: crystalline Cs3Hg4Sb at its relaxed geometry (PBE-GGA).

Lattice parameters (Å, degrees): 5.676 10.360 14.633 90.00 90.00 90.00
Space group Immm (No. 71)
Unique sites:
Cs (0.000, 0.000, 0.000)
Cs (0.000, 0.500, 0.178)
Hg (0.000, 0.258, 0.389)
Sb (0.000, 0.000, 0.500)

Results
calculated volume	861	Å³ per cell
energy relative to the elements, uncorrected	-247	meV/atom
total magnetization	0.0	μB per cell

Entry 16:
Entry from Alexandria: crystalline Ba3Li2Ca2Ag4 at its relaxed geometry (PBE-GGA).

Lattice parameters (Å, degrees): 4.9433 4.9433 17.6047 90.00 90.00 120.00
Space group P-3m1 (No. 164)
Unique sites:
Ba (0.0000, 0.0000, 0.0000)
Ba (0.0000, 0.0000, 0.2599)
Li (0.3333, 0.6667, 0.1321)
Ca (0.3333, 0.6667, 0.5640)
Ag (0.3333, 0.6667, 0.3761)
Ag (0.3333, 0.6667, 0.8716)

Results
formation energy	-0.176	eV per atom
calculated volume	373	Å³ per cell
total magnetization	0.0	μB per cell

Entry 17:
Entry from Alexandria: crystalline PPt2W at its relaxed geometry (PBE-GGA).

Lattice parameters (Å, degrees): 2.969 2.969 6.797 90.00 90.00 90.00
Space group P4mm (No. 99)
Unique sites:
P (0.000, 0.000, 0.000)
Pt (0.000, 0.000, 0.533)
Pt (0.500, 0.500, 0.226)
W (0.500, 0.500, 0.800)

Results
formation energy	-0.138	eV per atom
calculated volume	60	Å³ per cell
total magnetization	0.0	μB per cell

Entry 18:
Entry from Alexandria: crystalline ErTmOs2 at its relaxed geometry (PBE-GGA).

Lattice parameters (Å, degrees): 4.767 4.767 3.374 90.00 90.00 90.00
Space group P4/mmm (No. 123)
Unique sites:
Er (0.000, 0.000, 0.000)
Tm (0.500, 0.500, 0.000)
Os (0.000, 0.500, 0.500)

Results
formation energy	-0.115	eV per atom
calculated volume	77	Å³ per cell
total magnetization	0.0	μB per cell
relative energy among the computed polymorphs	0	meV/atom

Entry 19:
Entry from Alexandria: crystalline Be2AlBiTe at its relaxed geometry (PBE-GGA).

Lattice parameters (Å, degrees): 4.714 4.714 5.479 90.00 90.00 90.00
Space group P4/mmm (No. 123)
Unique sites:
Be (0.000, 0.500, 0.000)
Al (0.000, 0.000, 0.500)
Bi (0.500, 0.500, 0.500)
Te (0.000, 0.000, 0.000)

Results
calculated volume	122	Å³ per cell
energy relative to the elements, uncorrected	915	meV/atom
total magnetization	0.0	μB per cell

Entry 20:
Entry from Alexandria: crystalline Mg3GaPb at its relaxed geometry (PBE-GGA).

Lattice parameters (Å, degrees): 5.095 5.095 5.095 90.00 90.00 90.00
Space group Pm-3m (No. 221)
Unique sites:
Mg (0.000, 0.000, 0.500)
Ga (0.000, 0.000, 0.000)
Pb (0.500, 0.500, 0.500)

Results
formation energy	0.132	eV per atom
calculated volume	132	Å³ per cell
total magnetization	0.0	μB per cell
relative energy among the computed polymorphs	180	meV/atom